This record from Alexandria describes NaCuP2O7 at its PBEsol-relaxed geometry. The functional is SCAN.

Values from the calculation:
- Calculated volume: 13.21 Å³/atom
- Total magnetic moment: 0.0 μB per cell
- Energy: -0.706 Ry per atom
- E_form (uncorrected): -1988.6 meV/atom

Cell lengths 4.8794, 13.7699, 9.7396 Å; angles 90.00, 117.34, 90.00 degrees
Last column: nearest neighbours and their distance in Å.
Space group P2_1/c (No. 14)
Unique sites:
1 Na 0.0819 0.1293 0.3509 (multiplicity 4)  5 O 2.36-2.56
2 Cu 0.0309 0.1545 0.7406 (multiplicity 4)  4 O 1.83-1.87
3 P 0.2968 0.6775 0.5627 (multiplicity 4)  4 O 1.49-1.62
4 P 0.4940 0.5314 0.7796 (multiplicity 4)  4 O 1.48-1.63
5 O 0.0794 0.6954 0.3974 (multiplicity 4)  1 P 1.49
6 O 0.1988 0.7182 0.6825 (multiplicity 4)  1 P 1.55
7 O 0.2403 0.1066 0.6382 (multiplicity 4)  1 P 1.56
8 O 0.2471 0.5515 0.8364 (multiplicity 4)  1 P 1.56
9 O 0.3385 0.5617 0.5974 (multiplicity 4)  2 P 1.62-1.63
10 O 0.3755 0.2185 0.8916 (multiplicity 4)  1 P 1.56
11 O 0.4203 0.5729 0.2021 (multiplicity 4)  1 P 1.48